No. 1
VASP calculation (PBE-GGA) on a relaxed structure of Tb2Dy3S6.

```
Tb2Dy3S6
1.0
3.393 -5.855 0.000
3.393 5.855 0.000
-2.254 0.000 6.365
Tb Dy S
2 3 6
direct
0.165 0.835 0.000
0.835 0.165 0.000
0.000 0.000 0.500
0.337 0.663 0.500
0.663 0.337 0.500
0.082 0.416 0.747
0.251 0.251 0.247
0.416 0.082 0.747
0.584 0.918 0.253
0.749 0.749 0.753
0.918 0.584 0.253
```

ΔE_f (raw)   -2.078 eV/atom
Magnetic moment   0.00 μB per formula unit
Energy   -6.4262 eV/atom



No. 2
VASP calculation (PBE-GGA) on a relaxed structure of TbDyS3.

```
TbDyS3
1.0
7.749 0.000 0.000
0.000 3.894 0.000
-0.579 0.000 7.755
Tb Dy S
2 2 6
direct
0.232 0.250 0.382
0.768 0.750 0.618
0.317 0.250 0.855
0.683 0.750 0.145
0.017 0.250 0.677
0.321 0.750 0.105
0.386 0.750 0.622
0.614 0.250 0.378
0.679 0.250 0.895
0.983 0.750 0.323
```

ΔE_f (raw)   -2.042 eV/atom
Magnetic moment   0.00 μB per formula unit
Energy   -6.3654 eV/atom



No. 3
VASP calculation (PBE-GGA) on a relaxed structure of Tb3Dy4S8.

```
Tb3Dy4S8
1.0
5.526 -5.527 0.000
5.526 5.527 0.000
-5.523 0.000 5.528
Tb Dy S
3 4 8
direct
0.000 0.000 0.000
0.000 0.500 0.000
0.500 0.000 0.000
0.000 0.500 0.500
0.500 0.000 0.500
0.500 0.500 0.000
0.500 0.500 0.500
0.250 0.250 0.501
0.250 0.250 0.999
0.250 0.750 0.500
0.251 0.749 0.000
0.749 0.251 0.000
0.750 0.250 0.500
0.750 0.750 0.001
0.750 0.750 0.499
```

ΔE_f (raw)   -2.056 eV/atom
Magnetic moment   0.00 μB per formula unit
Energy   -6.4106 eV/atom



No. 4
VASP calculation (PBE-GGA) on a relaxed structure of Tb2Dy2S3.

```
Tb2Dy2S3
1.0
6.424 -1.934 0.000
6.424 1.934 0.000
-1.194 0.000 6.611
Tb Dy S
2 2 3
direct
0.125 0.125 0.378
0.875 0.875 0.622
0.374 0.374 0.124
0.626 0.626 0.876
0.000 0.000 0.000
0.252 0.252 0.753
0.748 0.748 0.247
```

ΔE_f (raw)   -1.715 eV/atom
Magnetic moment   0.00 μB per formula unit
Energy   -6.1216 eV/atom